Entry from Alexandria via LeMat-Bulk: crystalline Pm2AlPd5 at its relaxed geometry (PBE).

Calculated volume (Å³ per cell): 159
Density of states at the Fermi level (states/eV per cell): 4.87
Space group: I4mm, No. 107
ΔE_f (eV/atom): -0.77

Structure (CIF):
```
data_Pm2AlPd5
_chemical_formula_sum 'Pm2 Al1 Pd5'
_cell_length_a 6.008
_cell_length_b 6.008
_cell_length_c 6.008
_cell_angle_alpha 94.58
_cell_angle_beta 117.39
_cell_angle_gamma 117.39
_space_group_name_H-M_alt 'P 1'
_space_group_IT_number 1
loop_
_space_group_symop_operation_xyz
'x,y,z'
loop_
_atom_site_label
_atom_site_fract_x
_atom_site_fract_y
_atom_site_fract_z
_atom_site_occupancy
Pm1 0.500 0.250 0.750 1
Pm2 0.500 0.750 0.250 1
Al1 0.000 0.946 0.946 1
Pd1 0.451 0.731 0.731 1
Pd2 0.000 0.731 0.280 1
Pd3 0.000 0.280 0.731 1
Pd4 0.549 0.280 0.280 1
Pd5 0.000 0.255 0.255 1
```

Entry from Alexandria via LeMat-Bulk: crystalline RbLi3U4S12 at its relaxed geometry (PBE).

Calculated volume (Å³ per cell): 483
Density of states at the Fermi level (states/eV per cell): 13.24
Space group: Im-3, No. 204
Energy relative to the elements, uncorrected (eV per atom): -1.2378

Structure (CIF):
```
data_RbLi3U4S12
_chemical_formula_sum 'Rb1 Li3 U4 S12'
_cell_length_a 8.562
_cell_length_b 8.562
_cell_length_c 8.562
_cell_angle_alpha 109.47
_cell_angle_beta 109.47
_cell_angle_gamma 109.47
_space_group_name_H-M_alt 'P 1'
_space_group_IT_number 1
loop_
_space_group_symop_operation_xyz
'x,y,z'
loop_
_atom_site_label
_atom_site_fract_x
_atom_site_fract_y
_atom_site_fract_z
_atom_site_occupancy
Rb1 0.000 0.000 0.000 1
Li1 0.000 0.500 0.500 1
Li2 0.500 0.500 0.000 1
Li3 0.500 0.000 0.500 1
U1 0.500 0.000 0.000 1
U2 0.500 0.500 0.500 1
U3 0.000 0.500 0.000 1
U4 0.000 0.000 0.500 1
S1 0.306 0.818 0.124 1
S2 0.694 0.182 0.876 1
S3 0.694 0.818 0.511 1
S4 0.876 0.694 0.182 1
S5 0.818 0.124 0.306 1
S6 0.182 0.489 0.306 1
S7 0.489 0.306 0.182 1
S8 0.182 0.876 0.694 1
S9 0.306 0.182 0.489 1
S10 0.124 0.306 0.818 1
S11 0.818 0.511 0.694 1
S12 0.511 0.694 0.818 1
```